A) The following is a DFT calculation (PBE) of a geometry-optimized NaPrAu2 structure.

```
NaPrAu2
1.0
5.135 0.000 0.000
2.567 4.447 0.000
2.567 1.482 4.192
Pr Na Au
1 1 2
Direct
0.000 0.000 0.000
0.500 0.500 0.500
0.750 0.750 0.750
0.250 0.250 0.250
```

Values from the calculation:
- magnetic moment (μB/atom) = 0.000
- Fermi-level density of states (states/eV per cell) = 3.1
- symmetry = Fm-3m (225)



B) The following is a DFT calculation (PBE) of a geometry-optimized NaPrAu2 structure.

```
NaPrAu2
1.0
-1.594 -0.750 3.300
2.438 -2.784 0.544
4.528 4.596 3.231
Pr Na Au
1 1 2
Direct
0.500 0.500 0.500
0.500 0.500 0.000
0.000 0.000 0.734
0.000 0.000 0.266
```

Values from the calculation:
- magnetic moment (μB/atom) = 0.000
- Fermi-level density of states (states/eV per cell) = 2.6
- symmetry = P4/mmm (123)



Energies relative to the most stable structure, in eV/atom: A) 0.000; B) 0.043.